(1)
Density functional theory data (PBE) for an optimized crystal structure of K2HoGaBr6.

a b c (Å): 7.9844 7.9845 8.2057
angles (deg): 60.89 60.89 59.99
Sites, in units of the cell vectors:
1 Br 0.1881 0.9894 0.2573
2 Br 0.5652 0.1881 0.2573
3 Br 0.6618 0.1049 0.7800
4 Br 0.1050 0.4533 0.7800
5 Br 0.4533 0.6617 0.7800
6 Br 0.9894 0.5653 0.2572
7 Ho 0.3224 0.3224 0.0328
8 Ga 0.8146 0.8145 0.5562
9 K 0.0265 0.0265 0.9205
10 K 0.5354 0.5354 0.3938

Output
* ρ: 3.51 Mg/m³
* ΔE_f (raw): -15.72 eV per formula unit



(2)
Density functional theory data (PBE) for an optimized crystal structure of NdPuSn4.

a b c (Å): 6.1593 6.1593 6.1593
angles (deg): 60.00 60.00 60.00
Each line ends with the local moment (μB).
Sites, in units of the cell vectors:
1 Pu 0.0000 0.0000 0.0000  5.75
2 Sn 0.1242 0.6253 0.6253  0.00
3 Sn 0.6253 0.1242 0.6253  0.00
4 Sn 0.6253 0.6253 0.6253  0.00
5 Sn 0.6253 0.6253 0.1242  0.00
6 Nd 0.2500 0.2500 0.2500  0.31

Output
* ρ: 8.67 Mg/m³
* ΔH_f (0 K): -279 meV/atom



(3)
Density functional theory data (PBE) for an optimized crystal structure of Tm8Cd2Sn.

a b c (Å): 5.4221 8.4102 8.4102
angles (deg): 117.72 101.08 101.08
Sites, in units of the cell vectors:
1 Cd 0.0000 0.6945 0.3055
2 Cd 0.0000 0.3055 0.6945
3 Tm 0.8855 0.6762 0.9062
4 Tm 0.6980 0.3970 0.3970
5 Tm 0.1145 0.3238 0.0938
6 Tm 0.5000 0.7789 0.2211
7 Tm 0.5000 0.2211 0.7789
8 Tm 0.1145 0.0938 0.3238
9 Tm 0.3020 0.6030 0.6030
10 Tm 0.8855 0.9062 0.6762
11 Sn 0.5000 0.0000 0.0000

Output
* ρ: 8.93 Mg/m³
* ΔH_f (0 K): -96 meV/atom